Entry 1:
The following is a DFT calculation (PBE-GGA) of MgIn2Se after structural relaxation.

Calculated values
The value obtained for the final energy is -12.00 eV for the cell shown. For the density of states at the Fermi level, the calculation gives 1.204 states/eV/f.u. Its distance to the lowest polymorph of the same formula is 0.0 meV per atom. The calculation puts the uncorrected formation energy at -0.360 eV/atom.

```
data_MgIn2Se
_chemical_formula_sum 'Mg1 In2 Se1'
_symmetry_space_group_name_H-M 'P 1 m 1'
_symmetry_Int_Tables_number 6
_cell_length_a 3.714
_cell_length_b 3.736
_cell_length_c 7.532
_cell_angle_alpha 90.00
_cell_angle_beta 90.03
_cell_angle_gamma 90.00
loop_
_symmetry_equiv_pos_as_xyz
'x,y,z'
'x,-y,z'
loop_
_atom_site_label
_atom_site_type_symbol
_atom_site_fract_x
_atom_site_fract_y
_atom_site_fract_z
Mg1 Mg 0.000 0.000 0.000
In1 In 0.002 0.000 0.445
In2 In 0.501 0.500 0.686
Se1 Se 0.500 0.500 0.070
```



Entry 2:
The following is a DFT calculation (PBE-GGA) of MgIn4SnSe8 after structural relaxation.

Calculated values
The value obtained for the final energy is -156.73 eV for the cell shown. For the density of states at the Fermi level, the calculation gives 4.078 states/eV/f.u. The calculation puts the uncorrected formation energy at -0.558 eV/atom.

```
data_MgIn4SnSe8
_chemical_formula_sum 'Mg3 In12 Sn3 Se24'
_symmetry_space_group_name_H-M 'R 3 m'
_symmetry_Int_Tables_number 160
_symmetry_space_group_name_Hall 'R 3 -2"'
_cell_length_a 8.2558
_cell_length_b 8.2558
_cell_length_c 19.9876
_cell_angle_alpha 90.00
_cell_angle_beta 90.00
_cell_angle_gamma 120.00
loop_
_atom_site_label
_atom_site_type_symbol
_atom_site_fract_x
_atom_site_fract_y
_atom_site_fract_z
Mg1 Mg 0.0000 0.0000 0.0000
In1 In 0.0000 0.0000 0.2420
In2 In 0.1702 0.3403 0.4545
Sn1 Sn 0.0000 0.0000 0.6258
Se1 Se 0.0000 0.0000 0.3798
Se2 Se 0.0000 0.0000 0.8661
Se3 Se 0.0097 0.5048 0.3791
Se4 Se 0.1760 0.3521 0.1994
```



Entry 3:
The following is a DFT calculation (PBE-GGA) of MgInSn2Se5 after structural relaxation.

Calculated values
The value obtained for the final energy is -139.00 eV for the cell shown. For the density of states at the Fermi level, the calculation gives 1.981 states/eV/f.u. The calculation puts the uncorrected formation energy at -0.554 eV/atom.

```
data_MgInSn2Se5
_chemical_formula_sum 'Mg4 In4 Sn8 Se20'
_symmetry_space_group_name_H-M 'C m c 21'
_symmetry_Int_Tables_number 36
_cell_length_a 4.001
_cell_length_b 20.143
_cell_length_c 12.831
_cell_angle_alpha 90.00
_cell_angle_beta 90.00
_cell_angle_gamma 90.00
loop_
_symmetry_equiv_pos_as_xyz
'x,y,z'
'-x,-y,z+1/2'
'-x,y,z'
'x,-y,z+1/2'
'x+1/2,y+1/2,z'
'-x+1/2,-y+1/2,z+1/2'
'-x+1/2,y+1/2,z'
'x+1/2,-y+1/2,z+1/2'
loop_
_atom_site_label
_atom_site_type_symbol
_atom_site_fract_x
_atom_site_fract_y
_atom_site_fract_z
Mg1 Mg 0.000 0.190 0.000
In1 In 0.000 0.448 0.400
Sn1 Sn 0.000 0.129 0.308
Sn2 Sn 0.000 0.178 0.658
Se1 Se 0.000 0.053 0.027
Se2 Se 0.000 0.309 0.649
Se3 Se 0.000 0.320 0.339
Se4 Se 0.000 0.329 0.007
Se5 Se 0.000 0.465 0.754
```



Entry 4:
The following is a DFT calculation (PBE-GGA) of Sr2MgInSe5 after structural relaxation.

Calculated values
The value obtained for the final energy is -145.35 eV for the cell shown. For the density of states at the Fermi level, the calculation gives 3.236 states/eV/f.u. The calculation puts the uncorrected formation energy at -1.246 eV/atom.

```
data_Sr2MgInSe5
_chemical_formula_sum 'Sr8 Mg4 In4 Se20'
_symmetry_space_group_name_H-M 'C m c 21'
_symmetry_Int_Tables_number 36
_cell_length_a 4.278
_cell_length_b 18.828
_cell_length_c 12.714
_cell_angle_alpha 90.00
_cell_angle_beta 90.00
_cell_angle_gamma 90.00
loop_
_symmetry_equiv_pos_as_xyz
'x,y,z'
'-x,-y,z+1/2'
'-x,y,z'
'x,-y,z+1/2'
'x+1/2,y+1/2,z'
'-x+1/2,-y+1/2,z+1/2'
'-x+1/2,y+1/2,z'
'x+1/2,-y+1/2,z+1/2'
loop_
_atom_site_label
_atom_site_type_symbol
_atom_site_fract_x
_atom_site_fract_y
_atom_site_fract_z
Sr1 Sr 0.000 0.101 0.000
Sr2 Sr 0.000 0.125 0.652
Mg1 Mg 0.000 0.238 0.380
In1 In 0.000 0.432 0.796
Se1 Se 0.000 0.059 0.414
Se2 Se 0.000 0.272 0.018
Se3 Se 0.000 0.292 0.757
Se4 Se 0.000 0.372 0.334
Se5 Se 0.000 0.493 0.616
```



Entry 5:
The following is a DFT calculation (PBE-GGA) of MgTl2InSe4 after structural relaxation.

Calculated values
The value obtained for the final energy is -111.06 eV for the cell shown. For the density of states at the Fermi level, the calculation gives 2.305 states/eV/f.u. The calculation puts the uncorrected formation energy at -0.595 eV/atom.

```
data_MgTl2InSe4
_chemical_formula_sum 'Mg4 Tl8 In4 Se16'
_symmetry_space_group_name_H-M 'I m m a'
_symmetry_Int_Tables_number 74
_symmetry_space_group_name_Hall '-I 2b 2'
_cell_length_a 8.389
_cell_length_b 8.405
_cell_length_c 11.821
_cell_angle_alpha 90.00
_cell_angle_beta 90.00
_cell_angle_gamma 90.00
loop_
_atom_site_label
_atom_site_type_symbol
_atom_site_fract_x
_atom_site_fract_y
_atom_site_fract_z
Mg1 Mg 0.000 0.000 0.000
Tl1 Tl 0.000 0.000 0.500
Tl2 Tl 0.250 0.250 0.250
In1 In 0.250 0.250 0.750
Se1 Se 0.000 0.023 0.765
Se2 Se 0.221 0.250 0.987
```



Entry 6:
The following is a DFT calculation (PBE-GGA) of Mg2TlInSe4 after structural relaxation.

Calculated values
The value obtained for the final energy is -113.44 eV for the cell shown. The calculation puts the uncorrected formation energy at -0.766 eV/atom.

```
data_Mg2TlInSe4
_chemical_formula_sum 'Mg8 Tl4 In4 Se16'
_symmetry_space_group_name_H-M 'C m c m'
_symmetry_Int_Tables_number 63
_symmetry_space_group_name_Hall '-C 2c 2'
_cell_length_a 3.985
_cell_length_b 14.503
_cell_length_c 14.866
_cell_angle_alpha 90.00
_cell_angle_beta 90.00
_cell_angle_gamma 90.00
loop_
_atom_site_label
_atom_site_type_symbol
_atom_site_fract_x
_atom_site_fract_y
_atom_site_fract_z
Mg1 Mg 0.000 0.117 0.045
Tl1 Tl 0.000 0.366 0.250
In1 In 0.000 0.346 0.750
Se1 Se 0.000 0.039 0.250
Se2 Se 0.000 0.260 0.599
Se3 Se 0.000 0.500 0.000
```



Entry 7:
The following is a DFT calculation (PBE-GGA) of MgZrInSe2 after structural relaxation.

Calculated values
The value obtained for the final energy is -21.02 eV for the cell shown. For the density of states at the Fermi level, the calculation gives 3.389 states/eV/f.u. The calculation puts the uncorrected formation energy at -0.234 eV/atom.

```
data_MgZrInSe2
_chemical_formula_sum 'Mg1 Zr1 In1 Se2'
_symmetry_space_group_name_H-M 'P 4/m m m'
_symmetry_Int_Tables_number 123
_symmetry_space_group_name_Hall '-P 4 2'
_cell_length_a 5.182
_cell_length_b 5.182
_cell_length_c 5.868
_cell_angle_alpha 90.00
_cell_angle_beta 90.00
_cell_angle_gamma 90.00
loop_
_atom_site_label
_atom_site_type_symbol
_atom_site_fract_x
_atom_site_fract_y
_atom_site_fract_z
Mg1 Mg 0.000 0.000 0.000
Zr1 Zr 0.500 0.500 0.500
In1 In 0.500 0.500 0.000
Se1 Se 0.000 0.500 0.500
```



Entry 8:
The following is a DFT calculation (PBE-GGA) of Mg2InSi after structural relaxation.

Calculated values
The value obtained for the final energy is -21.54 eV for the cell shown. For the density of states at the Fermi level, the calculation gives 1.737 states/eV/f.u. The calculation puts the uncorrected formation energy at 0.145 eV/atom.

```
data_Mg2InSi
_chemical_formula_sum 'Mg4 In2 Si2'
_symmetry_space_group_name_H-M 'C m m 2'
_symmetry_Int_Tables_number 35
_cell_length_a 4.404
_cell_length_b 4.656
_cell_length_c 8.386
_cell_angle_alpha 90.00
_cell_angle_beta 90.00
_cell_angle_gamma 90.00
loop_
_symmetry_equiv_pos_as_xyz
'x,y,z'
'-x,-y,z'
'-x,y,z'
'x,-y,z'
'x+1/2,y+1/2,z'
'-x+1/2,-y+1/2,z'
'-x+1/2,y+1/2,z'
'x+1/2,-y+1/2,z'
loop_
_atom_site_label
_atom_site_type_symbol
_atom_site_fract_x
_atom_site_fract_y
_atom_site_fract_z
Mg1 Mg 0.000 0.000 0.000
Mg2 Mg 0.000 0.500 0.271
In1 In 0.000 0.000 0.545
Si1 Si 0.000 0.500 0.791
```



Entry 9:
The following is a DFT calculation (PBE-GGA) of Mg4InSi after structural relaxation.

Calculated values
The value obtained for the final energy is -52.51 eV for the cell shown. For the density of states at the Fermi level, the calculation gives 1.577 states/eV/f.u. The calculation puts the uncorrected formation energy at 0.235 eV/atom.

```
data_Mg4InSi
_chemical_formula_sum 'Mg16 In4 Si4'
_symmetry_space_group_name_H-M 'F -4 3 m'
_symmetry_Int_Tables_number 216
_symmetry_space_group_name_Hall 'F -4 2 3'
_cell_length_a 8.137
_cell_length_b 8.137
_cell_length_c 8.137
_cell_angle_alpha 90.00
_cell_angle_beta 90.00
_cell_angle_gamma 90.00
loop_
_atom_site_label
_atom_site_type_symbol
_atom_site_fract_x
_atom_site_fract_y
_atom_site_fract_z
Mg1 Mg 0.125 0.125 0.125
In1 In 0.000 0.000 0.500
Si1 Si 0.250 0.250 0.750
```



Entry 10:
The following is a DFT calculation (PBE-GGA) of Mg2InSi after structural relaxation.

Calculated values
The value obtained for the final energy is -11.16 eV for the cell shown. For the density of states at the Fermi level, the calculation gives 1.400 states/eV/f.u. The calculation puts the uncorrected formation energy at 0.047 eV/atom.

```
data_Mg2InSi
_chemical_formula_sum 'Mg2 In1 Si1'
_symmetry_space_group_name_H-M 'P 4/m m m'
_symmetry_Int_Tables_number 123
_symmetry_space_group_name_Hall '-P 4 2'
_cell_length_a 4.482
_cell_length_b 4.482
_cell_length_c 4.080
_cell_angle_alpha 90.00
_cell_angle_beta 90.00
_cell_angle_gamma 90.00
loop_
_atom_site_label
_atom_site_type_symbol
_atom_site_fract_x
_atom_site_fract_y
_atom_site_fract_z
Mg1 Mg 0.000 0.500 0.000
In1 In 0.000 0.000 0.500
Si1 Si 0.500 0.500 0.500
```



Entry 11:
The following is a DFT calculation (PBE-GGA) of Mg2InSi after structural relaxation.

Calculated values
The value obtained for the final energy is -42.15 eV for the cell shown. For the density of states at the Fermi level, the calculation gives 1.176 states/eV/f.u. The calculation puts the uncorrected formation energy at 0.203 eV/atom.

```
data_Mg2InSi
_chemical_formula_sum 'Mg8 In4 Si4'
_symmetry_space_group_name_H-M 'I -4 2 d'
_symmetry_Int_Tables_number 122
_symmetry_space_group_name_Hall 'I -4 2bw'
_cell_length_a 4.386
_cell_length_b 4.386
_cell_length_c 19.014
_cell_angle_alpha 90.00
_cell_angle_beta 90.00
_cell_angle_gamma 90.00
loop_
_atom_site_label
_atom_site_type_symbol
_atom_site_fract_x
_atom_site_fract_y
_atom_site_fract_z
Mg1 Mg 0.236 0.250 0.125
In1 In 0.000 0.000 0.500
Si1 Si 0.000 0.000 0.000
```



Entry 12:
The following is a DFT calculation (PBE-GGA) of Mg5In2Si2 after structural relaxation.

Calculated values
The value obtained for the final energy is -99.77 eV for the cell shown. For the density of states at the Fermi level, the calculation gives 2.373 states/eV/f.u. The calculation puts the uncorrected formation energy at -0.072 eV/atom.

```
data_Mg5In2Si2
_chemical_formula_sum 'Mg20 In8 Si8'
_symmetry_space_group_name_H-M 'C m c e'
_symmetry_Int_Tables_number 64
_symmetry_space_group_name_Hall '-C 2ac 2'
_cell_length_a 16.939
_cell_length_b 6.821
_cell_length_c 6.718
_cell_angle_alpha 90.00
_cell_angle_beta 90.00
_cell_angle_gamma 90.00
loop_
_atom_site_label
_atom_site_type_symbol
_atom_site_fract_x
_atom_site_fract_y
_atom_site_fract_z
Mg1 Mg 0.000 0.000 0.000
Mg2 Mg 0.119 0.180 0.320
In1 In 0.232 0.000 0.000
Si1 Si 0.000 0.123 0.623
```